# NpCu3Br2F6 PBE optimized geometry
# VASP energy   -125.1 eV for the cell shown
# Raw formation energy   -22.77 eV per formula unit
# Crystal system   monoclinic
# Density of states at the Fermi level   0.962 states/eV/atom
# Volume   20.89 Å³/atom
data_NpCu3Br2F6
_space_group_name_H-M_alt 'C 1 2/m 1'
_space_group_IT_number 12
_cell_length_a 15.9515
_cell_length_b 6.0114
_cell_length_c 5.2572
_cell_angle_alpha 90.00
_cell_angle_beta 96.10
_cell_angle_gamma 90.00
loop_
_space_group_symop_operation_xyz
'x,y,z'
'-x,-y,-z'
'-x,y,-z'
'x,-y,z'
'x+1/2,y+1/2,z'
'-x+1/2,-y+1/2,-z'
'-x+1/2,y+1/2,-z'
'x+1/2,-y+1/2,z'
loop_
_atom_site_label
_atom_site_type_symbol
_atom_site_fract_x
_atom_site_fract_y
_atom_site_fract_z
Np1 Np 0.0000 0.0000 0.0000
Cu1 Cu 0.0000 0.5000 0.5000
Cu2 Cu 0.2500 0.2500 0.0000
Br1 Br 0.1963 0.5000 0.6966
F1 F 0.0385 0.2597 0.2718
F2 F 0.1194 0.0000 0.8745

# La5Sb2PN PBE optimized geometry
# VASP energy   -57.1 eV for the cell shown
# Raw formation energy   -10.44 eV per formula unit
# Crystal system   tetragonal
# Density of states at the Fermi level   0.758 states/eV/atom
# Volume   29.83 Å³/atom
data_La5Sb2PN
_space_group_name_H-M_alt 'P 4/m m m'
_space_group_IT_number 123
_space_group_name_Hall '-P 4 2'
_cell_length_a 4.7544
_cell_length_b 4.7544
_cell_length_c 11.8768
_cell_angle_alpha 90.00
_cell_angle_beta 90.00
_cell_angle_gamma 90.00
loop_
_atom_site_label
_atom_site_type_symbol
_atom_site_fract_x
_atom_site_fract_y
_atom_site_fract_z
La1 La 0.0000 0.0000 0.0000
La2 La 0.0000 0.5000 0.5000
La3 La 0.5000 0.5000 0.2379
Sb1 Sb 0.0000 0.0000 0.2843
P1 P 0.5000 0.5000 0.0000
N1 N 0.5000 0.5000 0.5000

# TmTe3O8 PBE optimized geometry
# VASP energy   -287.9 eV for the cell shown
# Raw formation energy   -18.43 eV per formula unit
# Crystal system   monoclinic
# Density of states at the Fermi level   0.232 states/eV/atom
# Volume   13.68 Å³/atom
data_TmTe3O8
_space_group_name_H-M_alt 'C 1 2/c 1'
_space_group_IT_number 15
_cell_length_a 12.5097
_cell_length_b 5.5726
_cell_length_c 10.5215
_cell_angle_alpha 90.00
_cell_angle_beta 116.49
_cell_angle_gamma 90.00
loop_
_space_group_symop_operation_xyz
'x,y,z'
'-x,-y,-z'
'-x,y,-z+1/2'
'x,-y,z+1/2'
'x+1/2,y+1/2,z'
'-x+1/2,-y+1/2,-z'
'-x+1/2,y+1/2,-z+1/2'
'x+1/2,-y+1/2,z+1/2'
loop_
_atom_site_label
_atom_site_type_symbol
_atom_site_fract_x
_atom_site_fract_y
_atom_site_fract_z
Tm1 Tm 0.0000 0.0608 0.2500
Te1 Te 0.0000 0.5000 0.0000
Te2 Te 0.2195 0.4150 0.8566
O1 O 0.0823 0.2597 0.6700
O2 O 0.1052 0.3843 0.4047
O3 O 0.1126 0.2476 0.1357
O4 O 0.1760 0.1072 0.9147

# BaB2O2 PBE optimized geometry
# VASP energy   -45.4 eV for the cell shown
# Raw formation energy   2.51 eV per formula unit
# Crystal system   tetragonal
# Density of states at the Fermi level   0.228 states/eV/atom
# Volume   13.74 Å³/atom
data_BaB2O2
_space_group_name_H-M_alt 'P 4/m b m'
_space_group_IT_number 127
_space_group_name_Hall '-P 4 2ab'
_cell_length_a 6.5756
_cell_length_b 6.5756
_cell_length_c 3.1785
_cell_angle_alpha 90.00
_cell_angle_beta 90.00
_cell_angle_gamma 90.00
loop_
_atom_site_label
_atom_site_type_symbol
_atom_site_fract_x
_atom_site_fract_y
_atom_site_fract_z
Ba1 Ba 0.0000 0.0000 0.0000
B1 B 0.0846 0.4154 0.0000
O1 O 0.1625 0.6625 0.5000

# Ac4TlHg2 PBE optimized geometry
# VASP energy   -86.3 eV for the cell shown
# Crystal system   tetragonal
# Density of states at the Fermi level   1.316 states/eV/atom
# Volume   36.71 Å³/atom
data_Ac4TlHg2
_space_group_name_H-M_alt 'I -4 2 d'
_space_group_IT_number 122
_space_group_name_Hall 'I -4 2bw'
_cell_length_a 10.1567
_cell_length_b 10.1567
_cell_length_c 9.9632
_cell_angle_alpha 90.00
_cell_angle_beta 90.00
_cell_angle_gamma 90.00
loop_
_atom_site_label
_atom_site_type_symbol
_atom_site_fract_x
_atom_site_fract_y
_atom_site_fract_z
Ac1 Ac 0.0706 0.6758 0.4452
Tl1 Tl 0.0000 0.0000 0.5000
Hg1 Hg 0.1288 0.7500 0.1250

# La13Hg2 PBE optimized geometry
# VASP energy   -66.3 eV for the cell shown
# Crystal system   triclinic
# Density of states at the Fermi level   1.463 states/eV/atom
# Volume   34.85 Å³/atom
data_La13Hg2
_space_group_name_H-M_alt 'P -1'
_space_group_IT_number 2
_cell_length_a 6.6481
_cell_length_b 8.7694
_cell_length_c 9.8565
_cell_angle_alpha 68.91
_cell_angle_beta 77.83
_cell_angle_gamma 82.01
loop_
_space_group_symop_operation_xyz
'x,y,z'
'-x,-y,-z'
loop_
_atom_site_label
_atom_site_type_symbol
_atom_site_fract_x
_atom_site_fract_y
_atom_site_fract_z
La1 La 0.0000 0.0000 0.0000
La2 La 0.0577 0.4209 0.7086
La3 La 0.2091 0.1816 0.2302
La4 La 0.2495 0.5960 0.9510
La5 La 0.2877 0.9823 0.6490
La6 La 0.4561 0.3688 0.4194
La7 La 0.4780 0.7924 0.1489
Hg1 Hg 0.1249 0.7893 0.4479

# TaVPt3 PBE optimized geometry
# VASP energy   -81.3 eV for the cell shown
# Crystal system   orthorhombic
# Density of states at the Fermi level   1.054 states/eV/atom
# Volume   16.97 Å³/atom
data_TaVPt3
_space_group_name_H-M_alt 'P m m n'
_space_group_IT_number 59
_cell_length_a 4.3546
_cell_length_b 5.4414
_cell_length_c 7.1617
_cell_angle_alpha 90.00
_cell_angle_beta 90.00
_cell_angle_gamma 90.00
loop_
_space_group_symop_operation_xyz
'x,y,z'
'-x,-y,-z'
'-x+1/2,-y+1/2,z'
'x+1/2,y+1/2,-z'
'x+1/2,-y,-z'
'-x+1/2,y,z'
'-x,y+1/2,-z'
'x,-y+1/2,z'
loop_
_atom_site_label
_atom_site_type_symbol
_atom_site_fract_x
_atom_site_fract_y
_atom_site_fract_z
Ta1 Ta 0.2500 0.2500 0.1670
V1 V 0.2500 0.7500 0.4405
Pt1 Pt 0.2500 0.0107 0.7403
Pt2 Pt 0.2500 0.7500 0.0784

volume of number 3 (TmTe3O8)?
13.68 Å³/atom